The following is a PBE-GGA calculation of a relaxed structure of Pr4Y11Tm9, from Alexandria.

a = 15.499 Å, b = 15.499 Å, c = 3.617 Å
α = 90.00°, β = 90.00°, γ = 116.61°
Atoms (fractional coordinates):
1 Pr 0.082 0.259 0.000
2 Pr 0.259 0.082 0.000
3 Pr 0.741 0.918 0.000
4 Pr 0.918 0.741 0.000
5 Y 0.095 0.467 0.500
6 Y 0.124 0.876 0.500
7 Y 0.288 0.288 0.500
8 Y 0.313 0.687 0.500
9 Y 0.467 0.095 0.500
10 Y 0.500 0.500 0.500
11 Y 0.533 0.905 0.500
12 Y 0.687 0.313 0.500
13 Y 0.712 0.712 0.500
14 Y 0.876 0.124 0.500
15 Y 0.905 0.533 0.500
16 Tm 0.000 0.000 0.000
17 Tm 0.113 0.675 0.000
18 Tm 0.297 0.485 0.000
19 Tm 0.325 0.887 0.000
20 Tm 0.485 0.297 0.000
21 Tm 0.515 0.703 0.000
22 Tm 0.675 0.113 0.000
23 Tm 0.703 0.515 0.000
24 Tm 0.887 0.325 0.000

* crystal system: orthorhombic
* calculated density: 6.5 g/cm³
* space group: Cmmm (65)
* uncorrected energy: -0.198 Ha/atom
* E_form: 48 meV per atom